1.
VASP calculation (PBE) on an optimized crystal structure of Ag2AuCl4.

```
Ag2AuCl4
1.0
-2.636 2.636 6.346
2.636 -2.636 6.346
2.636 2.636 -6.346
Ag Au Cl
2 1 4
Direct
0.112 0.112 0.000 Ag
0.888 0.888 0.000 Ag
0.500 0.500 0.000 Au
0.000 0.500 0.500 Cl
0.307 0.307 0.000 Cl
0.500 0.000 0.500 Cl
0.693 0.693 0.000 Cl
```

Results
energy relative to the elements, uncorrected: -0.18 eV per atom
E above lowest polymorph: 107.7 meV/atom
calculated volume: 25.20 Å³ per atom

***

2.
VASP calculation (PBE) on an optimized crystal structure of NbRe3N.

```
NbRe3N
1.0
4.110 0.000 0.000
0.000 4.110 0.000
0.000 0.000 4.110
Nb Re N
1 3 1
Direct
0.000 0.000 0.000 Nb
0.000 0.500 0.500 Re
0.500 0.000 0.500 Re
0.500 0.500 0.000 Re
0.500 0.500 0.500 N
```

Results
energy relative to the elements, uncorrected: 0.08 eV per atom
E above lowest polymorph: 0.0 meV/atom
calculated volume: 13.88 Å³ per atom

***

3.
VASP calculation (PBE) on an optimized crystal structure of LaBe4IrPt2.

```
LaBe4IrPt2
1.0
1.980 1.143 8.539
-1.980 1.143 8.539
0.000 -2.287 8.539
La Be Ir Pt
1 4 1 2
Direct
0.000 0.000 0.000 La
0.136 0.136 0.136 Be
0.413 0.413 0.413 Be
0.587 0.587 0.587 Be
0.864 0.864 0.864 Be
0.500 0.500 0.500 Ir
0.237 0.237 0.237 Pt
0.763 0.763 0.763 Pt
```

Results
ΔH_f (0 K): -5.03 eV per formula unit
calculated volume: 14.50 Å³ per atom

***

4.
VASP calculation (PBE) on an optimized crystal structure of Co2HgMo.

```
Co2HgMo
1.0
3.031 0.000 0.000
0.000 3.055 0.000
0.000 0.000 6.291
Co Hg Mo
2 1 1
Direct
0.000 0.000 0.215 Co
0.000 0.000 0.785 Co
0.500 0.500 0.500 Hg
0.500 0.500 0.000 Mo
```

Results
ΔH_f (0 K): 1.12 eV per formula unit
calculated volume: 14.56 Å³ per atom

***

5.
VASP calculation (PBE) on an optimized crystal structure of Cs2KHgCl.

```
Cs2KHgCl
1.0
6.848 0.000 0.000
0.000 6.848 0.000
0.000 0.000 6.117
Cs K Hg Cl
2 1 1 1
Direct
0.000 0.500 0.000 Cs
0.500 0.000 0.000 Cs
0.000 0.000 0.500 K
0.500 0.500 0.500 Hg
0.000 0.000 0.000 Cl
```

Results
energy relative to the elements, uncorrected: -0.78 eV per atom
calculated volume: 57.37 Å³ per atom

***

6.
VASP calculation (PBE) on an optimized crystal structure of TaNiHg.

```
TaNiHg
1.0
4.492 0.000 0.000
-2.246 3.890 0.000
0.000 0.000 2.806
Ta Ni Hg
1 1 1
Direct
0.000 0.000 0.000 Ta
0.333 0.667 0.503 Ni
0.667 0.333 0.500 Hg
```

Results
ΔH_f (0 K): 0.73 eV per formula unit
E above lowest polymorph: 267.1 meV/atom
calculated volume: 16.34 Å³ per atom

***

Question: What is the calculated volume in the fourth record?
Answer: 14.56 Å³ per atom